No. 1
# Hf4NpAs5 | Alexandria via LeMat-Bulk | PBE-GGA | optimized geometry
# Crystal system: orthorhombic
# Total magnetization (μB per formula unit): 4.1
# V (Å³ per cell): 413.2
# Formation energy from the elements (eV/atom): -0.91
data_Hf4NpAs5
_space_group_name_H-M_alt 'I m m m'
_space_group_IT_number 71
_space_group_name_Hall '-I 2 2'
_cell_length_a 3.862
_cell_length_b 5.488
_cell_length_c 19.496
_cell_angle_alpha 90.00
_cell_angle_beta 90.00
_cell_angle_gamma 90.00
loop_
_atom_site_label
_atom_site_fract_x
_atom_site_fract_y
_atom_site_fract_z
Hf1 0.000 0.000 0.101
Hf2 0.000 0.000 0.298
Np1 0.000 0.000 0.500
As1 0.000 0.500 0.106
As2 0.000 0.500 0.301
As3 0.000 0.500 0.500

=====

No. 2
# LiTi2FeGe | Alexandria via LeMat-Bulk | PBE-GGA | optimized geometry
# Crystal system: tetragonal
# Total magnetization (μB per formula unit): 0.8
# V (Å³ per cell): 102.2
# Formation energy from the elements (eV/atom): 0.68
data_LiTi2FeGe
_space_group_name_H-M_alt 'P 4/m m m'
_space_group_IT_number 123
_space_group_name_Hall '-P 4 2'
_cell_length_a 4.842
_cell_length_b 4.842
_cell_length_c 4.357
_cell_angle_alpha 90.00
_cell_angle_beta 90.00
_cell_angle_gamma 90.00
loop_
_atom_site_label
_atom_site_fract_x
_atom_site_fract_y
_atom_site_fract_z
Li1 0.000 0.000 0.000
Ti1 0.000 0.500 0.500
Fe1 0.500 0.500 0.000
Ge1 0.500 0.500 0.500

=====

No. 3
# Ac2Hg4Bi | Alexandria via LeMat-Bulk | PBE-GGA | optimized geometry
# Crystal system: trigonal
# Total magnetization (μB per formula unit): 0.0
# V (Å³ per cell): 647.2
# Formation energy from the elements (eV/atom): -0.47
data_Ac2Hg4Bi
_space_group_name_H-M_alt 'R -3 m'
_space_group_IT_number 166
_space_group_name_Hall '-R 3 2"'
_cell_length_a 5.3808
_cell_length_b 5.3808
_cell_length_c 25.8135
_cell_angle_alpha 90.00
_cell_angle_beta 90.00
_cell_angle_gamma 120.00
loop_
_atom_site_label
_atom_site_fract_x
_atom_site_fract_y
_atom_site_fract_z
Ac1 0.0000 0.0000 0.2307
Hg1 0.0000 0.0000 0.0588
Hg2 0.0000 0.0000 0.3647
Bi1 0.0000 0.0000 0.5000

=====

No. 4
# CuSiNi2 | Alexandria via LeMat-Bulk | PBE-GGA | optimized geometry
# Formation energy (no corrections) (eV per atom): -0.24
# Crystal system: monoclinic
# Total magnetization (μB per formula unit): 0.0
# V (Å³ per cell): 90.9
data_CuSiNi2
_space_group_name_H-M_alt 'C 1 2/m 1'
_space_group_IT_number 12
_space_group_name_Hall '-C 2y'
_cell_length_a 8.082
_cell_length_b 2.690
_cell_length_c 4.337
_cell_angle_alpha 90.00
_cell_angle_beta 105.51
_cell_angle_gamma 90.00
loop_
_atom_site_label
_atom_site_fract_x
_atom_site_fract_y
_atom_site_fract_z
Cu1 0.000 0.000 0.000
Si1 0.000 0.500 0.500
Ni1 0.235 0.000 0.737

=====

No. 5
# Th6GaC4 | Alexandria via LeMat-Bulk | PBE-GGA | optimized geometry
# Crystal system: orthorhombic
# Total magnetization (μB per formula unit): 0.0
# V (Å³ per cell): 963.0
# Formation energy from the elements (eV/atom): -0.33
data_Th6GaC4
_space_group_name_H-M_alt 'C m c m'
_space_group_IT_number 63
_space_group_name_Hall '-C 2c 2'
_cell_length_a 3.816
_cell_length_b 12.642
_cell_length_c 19.961
_cell_angle_alpha 90.00
_cell_angle_beta 90.00
_cell_angle_gamma 90.00
loop_
_atom_site_label
_atom_site_fract_x
_atom_site_fract_y
_atom_site_fract_z
Th1 0.000 0.000 0.000
Th2 0.000 0.146 0.250
Th3 0.000 0.276 0.579
Th4 0.000 0.457 0.150
Ga1 0.000 0.167 0.750
C1 0.000 0.084 0.125
C2 0.000 0.358 0.039

=====

No. 6
# CaCeB12 | Alexandria via LeMat-Bulk | PBE-GGA | optimized geometry
# Crystal system: tetragonal
# Total magnetization (μB per formula unit): 0.9
# V (Å³ per cell): 141.1
# Formation energy from the elements (eV/atom): -0.46
data_CaCeB12
_space_group_name_H-M_alt 'P 4/m m m'
_space_group_IT_number 123
_space_group_name_Hall '-P 4 2'
_cell_length_a 4.130
_cell_length_b 4.130
_cell_length_c 8.273
_cell_angle_alpha 90.00
_cell_angle_beta 90.00
_cell_angle_gamma 90.00
loop_
_atom_site_label
_atom_site_fract_x
_atom_site_fract_y
_atom_site_fract_z
Ca1 0.000 0.000 0.000
Ce1 0.000 0.000 0.500
B1 0.200 0.500 0.250
B2 0.500 0.500 0.100
B3 0.500 0.500 0.400